Entry 1:
Below is Na2HfH6O6 after structural relaxation, with properties calculated at the PBEsol level.

Summary:
The density of states at the Fermi level comes out at 0.00 states/eV per cell. The value obtained for the calculated density is 3823 kg/m3. Its total energy is -5.980 eV per atom.

Lattice parameters (Å, degrees): 5.9401 5.9401 13.9249 90.00 90.00 120.00
Space group R-3 (No. 148, hexagonal axes)
Asymmetric unit:
1 Na 0.0000 0.0000 0.1667
2 Hf 0.0000 0.0000 0.5000
3 H 0.0184 0.7237 0.6524
4 O 0.0022 0.7098 0.5824

=====

Entry 2:
Below is Hf2NbH2 after structural relaxation, with properties calculated at the PBEsol level.

Summary:
The density of states at the Fermi level comes out at 7.05 states/eV per cell. The value obtained for the calculated density is 11393 kg/m3. Its total energy is -7.942 eV per atom.

Lattice parameters (Å, degrees): 3.1335 3.1335 13.4166 90.00 90.00 90.00
Space group I4/mmm (No. 139)
Asymmetric unit:
1 Hf 0.0000 0.0000 0.1500
2 Nb 0.0000 0.0000 0.5000
3 H 0.0000 0.5000 0.2500

=====

Entry 3:
Below is RbHfNb2H after structural relaxation, with properties calculated at the PBEsol level.

Summary:
The density of states at the Fermi level comes out at 7.38 states/eV per cell. The value obtained for the calculated density is 7175 kg/m3. Its total energy is -5.646 eV per atom.

Lattice parameters (Å, degrees): 5.4752 5.4752 3.4799 90.00 90.00 90.00
Space group P4/mmm (No. 123)
Asymmetric unit:
1 Rb 0.0000 0.0000 0.0000
2 Hf 0.5000 0.5000 0.5000
3 Nb 0.0000 0.5000 0.5000
4 H 0.5000 0.5000 0.0000

=====

Entry 4:
Below is HfH3O after structural relaxation, with properties calculated at the PBEsol level.

Summary:
The density of states at the Fermi level comes out at 1.65 states/eV per cell. The value obtained for the calculated density is 9067 kg/m3. Its total energy is -4.702 eV per atom.

Lattice parameters (Å, degrees): 3.3071 3.3071 3.3071 90.00 90.00 90.00
Space group Pm-3m (No. 221)
Asymmetric unit:
1 Hf 0.0000 0.0000 0.0000
2 H 0.0000 0.5000 0.5000
3 O 0.5000 0.5000 0.5000

=====

Entry 5:
Below is Hf2HOs after structural relaxation, with properties calculated at the PBEsol level.

Summary:
The density of states at the Fermi level comes out at 11.70 states/eV per cell. The value obtained for the calculated density is 14680 kg/m3. Its total energy is -9.132 eV per atom.

Lattice parameters (Å, degrees): 6.2832 6.2832 6.2832 90.00 90.00 90.00
Space group Fm-3m (No. 225)
Asymmetric unit:
1 Hf 0.2500 0.2500 0.2500
2 H 0.0000 0.0000 0.0000
3 Os 0.0000 0.0000 0.5000

=====

Entry 6:
Below is Hf2H2Os after structural relaxation, with properties calculated at the PBEsol level.

Summary:
The density of states at the Fermi level comes out at 1.65 states/eV per cell. The value obtained for the calculated density is 15392 kg/m3. Its total energy is -8.604 eV per atom.

Lattice parameters (Å, degrees): 3.1482 3.1482 11.9566 90.00 90.00 90.00
Space group I4/mmm (No. 139)
Asymmetric unit:
1 Hf 0.0000 0.0000 0.1379
2 H 0.0000 0.5000 0.2500
3 Os 0.0000 0.0000 0.5000